The following is a DFT calculation (GGA-PBE) of an optimized crystal structure of TlReSe.

Lattice parameters (Å, degrees): 3.6591 5.0715 9.1428 80.78 87.71 73.98
Last column: nearest neighbours and their distance in Å.
Sites, in units of the cell vectors:
Tl1 0.1519 0.1704 0.1594  3 Se 3.00-3.08, 1 Re 3.29
Tl2 0.8481 0.8296 0.8406  3 Se 3.00-3.08, 1 Re 3.29
Re1 0.3253 0.8348 0.4993  2 Re 2.37-2.51, 2 Se 2.48
Re2 0.6747 0.1652 0.5007  2 Re 2.37-2.51, 2 Se 2.48
Se1 0.4992 0.4417 0.7057  2 Re 2.48
Se2 0.5008 0.5583 0.2943  2 Re 2.48

Summary:
The space-group type is No. 2. The raw formation energy is 90 meV per atom. The total energy comes out at -6.010 eV per atom. Its energy above the most stable polymorph in this dataset is 7 meV/atom.